A relaxed Ba2HgPd crystal. Source: Alexandria, functional GGA-PBE. Values from VASP.

The structure in Quantum ESPRESSO input format:
```
&SYSTEM
  ibrav = 0, nat = 4, ntyp = 3
/
ATOMIC_SPECIES
Pd 106.42 Pd.upf
Hg 200.59 Hg.upf
Ba 137.33 Ba.upf
CELL_PARAMETERS angstrom
-0.723 4.499 -0.286
-4.102 1.723 1.026
1.427 3.211 10.477
ATOMIC_POSITIONS angstrom
Pd -1.699 4.717 5.609
Hg 0.000 0.000 0.000
Ba 0.406 2.829 7.035
Ba -3.803 6.605 4.183
```

Computed properties:
Formation energy from the elements   -1.09 eV per formula unit
M_tot   0.00 μB per cell
Energy   -2.608 eV per atom
Crystal system   trigonal
Space-group type   R-3m